# 1
# AlBi2SeCl PBE relaxed
# Spin magnetization in μB/atom: 0.000
# SG: P4/mmm (123)
# Raw formation energy in eV per formula unit: 3.5
# Total energy in eV/atom: -2.66
data_AlBi2SeCl
_chemical_formula_sum 'Al1 Bi2 Se1 Cl1'
_symmetry_space_group_name_H-M 'P 1'
_symmetry_Int_Tables_number 1
_cell_length_a 5.4557
_cell_length_b 5.4557
_cell_length_c 5.2996
_cell_angle_alpha 90.00
_cell_angle_beta 90.00
_cell_angle_gamma 90.00
loop_
_symmetry_equiv_pos_as_xyz
'x,y,z'
loop_
_atom_site_label
_atom_site_type_symbol
_atom_site_fract_x
_atom_site_fract_y
_atom_site_fract_z
_atom_site_occupancy
Al1 Al 0.0000 0.0000 0.0000 1
Bi1 Bi 0.0000 0.5000 0.5000 1
Bi2 Bi 0.5000 0.0000 0.5000 1
Se1 Se 0.5000 0.5000 0.0000 1
Cl1 Cl 0.5000 0.5000 0.5000 1

***

# 2
# AlSi2BiCl PBE relaxed
# Spin magnetization in μB/atom: 0.179
# SG: P4/mmm (123)
# Raw formation energy in eV per formula unit: 5.8
# Total energy in eV/atom: -2.90
data_AlSi2BiCl
_chemical_formula_sum 'Al1 Si2 Bi1 Cl1'
_symmetry_space_group_name_H-M 'P 1'
_symmetry_Int_Tables_number 1
_cell_length_a 5.3966
_cell_length_b 5.3966
_cell_length_c 6.3212
_cell_angle_alpha 90.00
_cell_angle_beta 90.00
_cell_angle_gamma 90.00
loop_
_symmetry_equiv_pos_as_xyz
'x,y,z'
loop_
_atom_site_label
_atom_site_type_symbol
_atom_site_fract_x
_atom_site_fract_y
_atom_site_fract_z
_atom_site_occupancy
Al1 Al 0.0000 0.0000 0.0000 1
Si1 Si 0.0000 0.5000 0.5000 1
Si2 Si 0.5000 0.0000 0.5000 1
Bi1 Bi 0.0000 0.0000 0.5000 1
Cl1 Cl 0.5000 0.5000 0.0000 1

***

# 3
# AlBiTeCl4 PBE relaxed
# Spin magnetization in μB/atom: 0.000
# SG: I-4 (82)
# Raw formation energy in eV per formula unit: -7.9
# Total energy in eV/atom: -3.72
data_AlBiTeCl4
_chemical_formula_sum 'Al4 Bi4 Te4 Cl16'
_symmetry_space_group_name_H-M 'P 1'
_symmetry_Int_Tables_number 1
_cell_length_a 10.7743
_cell_length_b 10.7743
_cell_length_c 10.7743
_cell_angle_alpha 107.11
_cell_angle_beta 107.11
_cell_angle_gamma 114.31
loop_
_symmetry_equiv_pos_as_xyz
'x,y,z'
loop_
_atom_site_label
_atom_site_type_symbol
_atom_site_fract_x
_atom_site_fract_y
_atom_site_fract_z
_atom_site_occupancy
Al1 Al 0.0544 0.6640 0.7855 1
Al2 Al 0.3360 0.1215 0.3904 1
Al3 Al 0.7311 0.9456 0.6096 1
Al4 Al 0.8785 0.2689 0.2145 1
Bi1 Bi 0.2186 0.3218 0.7868 1
Bi2 Bi 0.5350 0.4318 0.2132 1
Bi3 Bi 0.5682 0.7814 0.1032 1
Bi4 Bi 0.6782 0.4650 0.8968 1
Te1 Te 0.3087 0.5167 0.1007 1
Te2 Te 0.4160 0.2080 0.8993 1
Te3 Te 0.4833 0.5840 0.7920 1
Te4 Te 0.7920 0.6913 0.2080 1
Cl1 Cl 0.0908 0.3939 0.4121 1
Cl2 Cl 0.1829 0.1011 0.4883 1
Cl3 Cl 0.2658 0.1807 0.2152 1
Cl4 Cl 0.3054 0.8171 0.9181 1
Cl5 Cl 0.3214 0.9092 0.3031 1
Cl6 Cl 0.5694 0.3175 0.5554 1
Cl7 Cl 0.6061 0.0183 0.6969 1
Cl8 Cl 0.6127 0.6946 0.5117 1
Cl9 Cl 0.6825 0.2379 0.2520 1
Cl10 Cl 0.7621 0.0141 0.4446 1
Cl11 Cl 0.8193 0.0345 0.0851 1
Cl12 Cl 0.8989 0.3873 0.0819 1
Cl13 Cl 0.9494 0.7342 0.9149 1
Cl14 Cl 0.9655 0.0506 0.7848 1
Cl15 Cl 0.9817 0.6786 0.5879 1
Cl16 Cl 0.9859 0.4306 0.7480 1

***

# 4
# AlVBi2Cl PBE relaxed
# Spin magnetization in μB/atom: 0.003
# SG: P4/mmm (123)
# Raw formation energy in eV per formula unit: 1.1
# Total energy in eV/atom: -4.27
data_AlVBi2Cl
_chemical_formula_sum 'Al1 V1 Bi2 Cl1'
_symmetry_space_group_name_H-M 'P 1'
_symmetry_Int_Tables_number 1
_cell_length_a 5.4710
_cell_length_b 5.4710
_cell_length_c 4.4124
_cell_angle_alpha 90.00
_cell_angle_beta 90.00
_cell_angle_gamma 90.00
loop_
_symmetry_equiv_pos_as_xyz
'x,y,z'
loop_
_atom_site_label
_atom_site_type_symbol
_atom_site_fract_x
_atom_site_fract_y
_atom_site_fract_z
_atom_site_occupancy
Al1 Al 0.0000 0.0000 0.0000 1
V1 V 0.5000 0.5000 0.5000 1
Bi1 Bi 0.0000 0.5000 0.5000 1
Bi2 Bi 0.5000 0.0000 0.5000 1
Cl1 Cl 0.5000 0.5000 0.0000 1

***

# 5
# AlCoBi3 PBE relaxed
# Formation energy from the elements in eV/atom: 0.505
# Excess energy over the best structure of this formula in the dataset in eV per atom: 0.000
# Spin magnetization in μB/atom: 0.000
# SG: Pm-3m (221)
# Total energy in eV/atom: -3.99
data_AlCoBi3
_chemical_formula_sum 'Al1 Co1 Bi3'
_symmetry_space_group_name_H-M 'P 1'
_symmetry_Int_Tables_number 1
_cell_length_a 5.1446
_cell_length_b 5.1446
_cell_length_c 5.1446
_cell_angle_alpha 90.00
_cell_angle_beta 90.00
_cell_angle_gamma 90.00
loop_
_symmetry_equiv_pos_as_xyz
'x,y,z'
loop_
_atom_site_label
_atom_site_type_symbol
_atom_site_fract_x
_atom_site_fract_y
_atom_site_fract_z
_atom_site_occupancy
Al1 Al 0.0000 0.0000 0.0000 1
Co1 Co 0.5000 0.5000 0.5000 1
Bi1 Bi 0.0000 0.5000 0.5000 1
Bi2 Bi 0.5000 0.0000 0.5000 1
Bi3 Bi 0.5000 0.5000 0.0000 1

***

# 6
# AlCo3Bi PBE relaxed
# Formation energy from the elements in eV/atom: 0.750
# Excess energy over the best structure of this formula in the dataset in eV per atom: 0.000
# Spin magnetization in μB/atom: 0.650
# SG: Pm-3m (221)
# Total energy in eV/atom: -5.04
data_AlCo3Bi
_chemical_formula_sum 'Al1 Co3 Bi1'
_symmetry_space_group_name_H-M 'P 1'
_symmetry_Int_Tables_number 1
_cell_length_a 4.3753
_cell_length_b 4.3753
_cell_length_c 4.3753
_cell_angle_alpha 90.00
_cell_angle_beta 90.00
_cell_angle_gamma 90.00
loop_
_symmetry_equiv_pos_as_xyz
'x,y,z'
loop_
_atom_site_label
_atom_site_type_symbol
_atom_site_fract_x
_atom_site_fract_y
_atom_site_fract_z
_atom_site_occupancy
Al1 Al 0.0000 0.0000 0.0000 1
Co1 Co 0.0000 0.0000 0.5000 1
Co2 Co 0.0000 0.5000 0.0000 1
Co3 Co 0.5000 0.0000 0.0000 1
Bi1 Bi 0.5000 0.5000 0.5000 1

***

# 7
# Al2Co2Bi PBE relaxed
# Formation energy from the elements in eV/atom: -0.043
# Excess energy over the best structure of this formula in the dataset in eV per atom: 0.000
# Spin magnetization in μB/atom: 0.000
# SG: I4/mmm (139)
# Total energy in eV/atom: -5.16
data_Al2Co2Bi
_chemical_formula_sum 'Al4 Co4 Bi2'
_symmetry_space_group_name_H-M 'P 1'
_symmetry_Int_Tables_number 1
_cell_length_a 3.6962
_cell_length_b 3.6962
_cell_length_c 11.6180
_cell_angle_alpha 90.00
_cell_angle_beta 90.00
_cell_angle_gamma 90.00
loop_
_symmetry_equiv_pos_as_xyz
'x,y,z'
loop_
_atom_site_label
_atom_site_type_symbol
_atom_site_fract_x
_atom_site_fract_y
_atom_site_fract_z
_atom_site_occupancy
Al1 Al 0.0000 0.5000 0.2500 1
Al2 Al 0.0000 0.5000 0.7500 1
Al3 Al 0.5000 0.0000 0.2500 1
Al4 Al 0.5000 0.0000 0.7500 1
Co1 Co 0.0000 0.0000 0.1092 1
Co2 Co 0.0000 0.0000 0.8908 1
Co3 Co 0.5000 0.5000 0.3908 1
Co4 Co 0.5000 0.5000 0.6092 1
Bi1 Bi 0.0000 0.0000 0.5000 1
Bi2 Bi 0.5000 0.5000 0.0000 1

***

# 8
# AlCoBi3 PBE relaxed
# Formation energy from the elements in eV/atom: 1.111
# Excess energy over the best structure of this formula in the dataset in eV per atom: 0.607
# Spin magnetization in μB/atom: 0.410
# SG: Pm-3m (221)
# Total energy in eV/atom: -3.39
data_AlCoBi3
_chemical_formula_sum 'Al1 Co1 Bi3'
_symmetry_space_group_name_H-M 'P 1'
_symmetry_Int_Tables_number 1
_cell_length_a 5.4086
_cell_length_b 5.4086
_cell_length_c 5.4086
_cell_angle_alpha 90.00
_cell_angle_beta 90.00
_cell_angle_gamma 90.00
loop_
_symmetry_equiv_pos_as_xyz
'x,y,z'
loop_
_atom_site_label
_atom_site_type_symbol
_atom_site_fract_x
_atom_site_fract_y
_atom_site_fract_z
_atom_site_occupancy
Al1 Al 0.0000 0.0000 0.0000 1
Co1 Co 0.5000 0.5000 0.5000 1
Bi1 Bi 0.0000 0.0000 0.5000 1
Bi2 Bi 0.0000 0.5000 0.0000 1
Bi3 Bi 0.5000 0.0000 0.0000 1

***

# 9
# AlCo3Bi PBE relaxed
# Formation energy from the elements in eV/atom: 1.477
# Excess energy over the best structure of this formula in the dataset in eV per atom: 0.727
# Spin magnetization in μB/atom: 0.901
# SG: Pm-3m (221)
# Total energy in eV/atom: -4.31
data_AlCo3Bi
_chemical_formula_sum 'Al1 Co3 Bi1'
_symmetry_space_group_name_H-M 'P 1'
_symmetry_Int_Tables_number 1
_cell_length_a 4.7896
_cell_length_b 4.7896
_cell_length_c 4.7896
_cell_angle_alpha 90.00
_cell_angle_beta 90.00
_cell_angle_gamma 90.00
loop_
_symmetry_equiv_pos_as_xyz
'x,y,z'
loop_
_atom_site_label
_atom_site_type_symbol
_atom_site_fract_x
_atom_site_fract_y
_atom_site_fract_z
_atom_site_occupancy
Al1 Al 0.0000 0.0000 0.0000 1
Co1 Co 0.0000 0.5000 0.5000 1
Co2 Co 0.5000 0.0000 0.5000 1
Co3 Co 0.5000 0.5000 0.0000 1
Bi1 Bi 0.5000 0.5000 0.5000 1

***

# 10
# Al3CoBi PBE relaxed
# Formation energy from the elements in eV/atom: 0.072
# Excess energy over the best structure of this formula in the dataset in eV per atom: 0.000
# Spin magnetization in μB/atom: 0.000
# SG: Pm-3m (221)
# Total energy in eV/atom: -4.37
data_Al3CoBi
_chemical_formula_sum 'Al3 Co1 Bi1'
_symmetry_space_group_name_H-M 'P 1'
_symmetry_Int_Tables_number 1
_cell_length_a 4.6150
_cell_length_b 4.6150
_cell_length_c 4.6150
_cell_angle_alpha 90.00
_cell_angle_beta 90.00
_cell_angle_gamma 90.00
loop_
_symmetry_equiv_pos_as_xyz
'x,y,z'
loop_
_atom_site_label
_atom_site_type_symbol
_atom_site_fract_x
_atom_site_fract_y
_atom_site_fract_z
_atom_site_occupancy
Al1 Al 0.0000 0.0000 0.5000 1
Al2 Al 0.0000 0.5000 0.0000 1
Al3 Al 0.5000 0.0000 0.0000 1
Co1 Co 0.0000 0.0000 0.0000 1
Bi1 Bi 0.5000 0.5000 0.5000 1

***

# 11
# Al2Co2Bi PBE relaxed
# Formation energy from the elements in eV/atom: -0.015
# Excess energy over the best structure of this formula in the dataset in eV per atom: 0.028
# Spin magnetization in μB/atom: 0.000
# SG: P4/mbm (127)
# Total energy in eV/atom: -5.13
data_Al2Co2Bi
_chemical_formula_sum 'Al4 Co4 Bi2'
_symmetry_space_group_name_H-M 'P 1'
_symmetry_Int_Tables_number 1
_cell_length_a 7.2461
_cell_length_b 7.2461
_cell_length_c 2.9311
_cell_angle_alpha 90.00
_cell_angle_beta 90.00
_cell_angle_gamma 90.00
loop_
_symmetry_equiv_pos_as_xyz
'x,y,z'
loop_
_atom_site_label
_atom_site_type_symbol
_atom_site_fract_x
_atom_site_fract_y
_atom_site_fract_z
_atom_site_occupancy
Al1 Al 0.1352 0.3648 0.0000 1
Al2 Al 0.3648 0.8648 0.0000 1
Al3 Al 0.6352 0.1352 0.0000 1
Al4 Al 0.8648 0.6352 0.0000 1
Co1 Co 0.1504 0.6504 0.5000 1
Co2 Co 0.3496 0.1504 0.5000 1
Co3 Co 0.6504 0.8496 0.5000 1
Co4 Co 0.8496 0.3496 0.5000 1
Bi1 Bi 0.0000 0.0000 0.5000 1
Bi2 Bi 0.5000 0.5000 0.5000 1

***

# 12
# Al2CrCoBi PBE relaxed
# Formation energy from the elements in eV/atom: 0.693
# Spin magnetization in μB/atom: 0.141
# SG: P4/mmm (123)
# Total energy in eV/atom: -4.93
data_Al2CrCoBi
_chemical_formula_sum 'Al2 Cr1 Co1 Bi1'
_symmetry_space_group_name_H-M 'P 1'
_symmetry_Int_Tables_number 1
_cell_length_a 4.7110
_cell_length_b 4.7110
_cell_length_c 4.3340
_cell_angle_alpha 90.00
_cell_angle_beta 90.00
_cell_angle_gamma 90.00
loop_
_symmetry_equiv_pos_as_xyz
'x,y,z'
loop_
_atom_site_label
_atom_site_type_symbol
_atom_site_fract_x
_atom_site_fract_y
_atom_site_fract_z
_atom_site_occupancy
Al1 Al 0.0000 0.5000 0.0000 1
Al2 Al 0.5000 0.0000 0.0000 1
Cr1 Cr 0.0000 0.0000 0.0000 1
Co1 Co 0.0000 0.0000 0.5000 1
Bi1 Bi 0.5000 0.5000 0.5000 1

***

# 13
# AlCoGeBi2 PBE relaxed
# Formation energy from the elements in eV/atom: 1.095
# Spin magnetization in μB/atom: 0.389
# SG: P4/mmm (123)
# Total energy in eV/atom: -3.55
data_AlCoGeBi2
_chemical_formula_sum 'Al1 Co1 Ge1 Bi2'
_symmetry_space_group_name_H-M 'P 1'
_symmetry_Int_Tables_number 1
_cell_length_a 5.5492
_cell_length_b 5.5492
_cell_length_c 4.7435
_cell_angle_alpha 90.00
_cell_angle_beta 90.00
_cell_angle_gamma 90.00
loop_
_symmetry_equiv_pos_as_xyz
'x,y,z'
loop_
_atom_site_label
_atom_site_type_symbol
_atom_site_fract_x
_atom_site_fract_y
_atom_site_fract_z
_atom_site_occupancy
Al1 Al 0.0000 0.0000 0.0000 1
Co1 Co 0.5000 0.5000 0.0000 1
Ge1 Ge 0.0000 0.0000 0.5000 1
Bi1 Bi 0.0000 0.5000 0.5000 1
Bi2 Bi 0.5000 0.0000 0.5000 1

***

Which volume belongs to each record? In order, 158; 184; 958; 132; 136; 84; 159; 158; 110; 98; 154; 96; 146 Å³/cell.